No. 1
# Te2MoHI

A relaxed Te2MoHI crystal (PBE, Alexandria).

abc: 5.2436 5.2436 5.9138
angles: 90.00 90.00 90.00
Last column: nearest neighbours and their distance in Å.
Atoms (fractional coordinates):
Te  0.0000  0.5000  0.0000  2 Mo 2.62
Te  0.5000  0.0000  0.0000  2 Mo 2.62
Mo  0.0000  0.0000  0.0000  4 Te 2.62
H  0.5000  0.5000  0.5000  4 I 3.71, 8 Te 3.95
I  0.0000  0.0000  0.5000  2 Mo 2.96

Summary:
Energy relative to the lowest polymorph listed for this composition (meV per atom): 0
V (A^3/atom): 32.52

=====

No. 2
# ZnFeSb2Pb

A relaxed ZnFeSb2Pb crystal (PBE, Alexandria).

abc: 5.8654 5.8654 5.0050
angles: 90.00 90.00 90.00
Last column: nearest neighbours and their distance in Å.
Atoms (fractional coordinates):
Zn  0.0000  0.0000  0.0000  2 Pb 2.50
Fe  0.5000  0.5000  0.0000  8 Sb 3.86, 4 Zn 4.15
Sb  0.0000  0.5000  0.5000  2 Pb 2.93
Sb  0.5000  0.0000  0.5000  2 Pb 2.93
Pb  0.0000  0.0000  0.5000  2 Zn 2.50

Summary:
Formation energy (no corrections) (eV per atom): 1.33
V (A^3/atom): 34.44

=====

No. 3
# CuRh3W

A relaxed CuRh3W crystal (PBE, Alexandria).

abc: 6.9235 6.9235 4.9493
angles: 97.98 97.98 135.21
Last column: nearest neighbours and their distance in Å.
Atoms (fractional coordinates):
Cu  0.0245  0.9755  0.7500  4 Rh 2.49-2.67, 2 Cu 2.55
Cu  0.9755  0.0245  0.2500  4 Rh 2.49-2.67, 2 Cu 2.55
Rh  0.0683  0.3971  0.6661  2 W 2.45-2.72, 2 Rh 2.63-2.73, 1 Cu 2.67
Rh  0.3971  0.0683  0.1661  2 W 2.45-2.72, 2 Rh 2.63-2.73, 1 Cu 2.67
Rh  0.5000  0.5000  0.0000  4 Rh 2.47-2.73, 2 Cu 2.49, 2 W 2.62
Rh  0.5000  0.5000  0.5000  4 Rh 2.47-2.73, 2 Cu 2.49, 2 W 2.62
Rh  0.6029  0.9317  0.8339  2 W 2.45-2.72, 2 Rh 2.63-2.73, 1 Cu 2.67
Rh  0.9317  0.6029  0.3339  2 W 2.45-2.72, 2 Rh 2.63-2.73, 1 Cu 2.67
W  0.3194  0.6806  0.2500  6 Rh 2.45-2.72
W  0.6806  0.3194  0.7500  6 Rh 2.45-2.72

Summary:
Energy relative to the lowest polymorph listed for this composition (meV per atom): 0
V (A^3/atom): 15.56

=====

No. 4
# GdLuS2

A relaxed GdLuS2 crystal (PBE, Alexandria).

abc: 6.7536 6.7536 6.7536
angles: 33.34 33.34 33.34
Last column: nearest neighbours and their distance in Å.
Atoms (fractional coordinates):
Gd  0.0000  0.0000  0.0000  6 S 2.80
Lu  0.5000  0.5000  0.5000  6 S 2.70
S  0.2454  0.2454  0.2454  3 Lu 2.70, 3 Gd 2.80
S  0.7546  0.7546  0.7546  3 Lu 2.70, 3 Gd 2.80

Summary:
Formation energy (no corrections) (eV per atom): -1.98
V (A^3/atom): 20.72

=====

No. 5
# GeH2S

A relaxed GeH2S crystal (PBE, Alexandria).

abc: 2.7382 8.0559 5.7235
angles: 90.00 102.79 90.00
Last column: nearest neighbours and their distance in Å.
Atoms (fractional coordinates):
Ge  0.1807  0.2500  0.2953  2 H 1.53
Ge  0.8193  0.7500  0.7047  2 H 1.53
H  0.1226  0.0832  0.1637  1 Ge 1.53
H  0.1226  0.4168  0.1637  1 Ge 1.53
H  0.8774  0.5832  0.8363  1 Ge 1.53
H  0.8774  0.9168  0.8363  1 Ge 1.53
S  0.3607  0.2500  0.6866  1 Ge 2.18
S  0.6393  0.7500  0.3134  1 Ge 2.18

Summary:
Energy relative to the lowest polymorph listed for this composition (meV per atom): 386
V (A^3/atom): 15.39

=====

No. 6
# LaTaMo2

A relaxed LaTaMo2 crystal (PBE, Alexandria).

abc: 5.7905 5.7905 5.7905
angles: 140.22 140.22 57.51
Last column: nearest neighbours and their distance in Å.
Atoms (fractional coordinates):
La  0.0000  0.0000  0.0000  4 Mo 2.79
Ta  0.7500  0.2500  0.5000  4 Mo 2.79
Mo  0.2500  0.7500  0.5000  4 Ta 2.79
Mo  0.5000  0.5000  0.0000  4 La 2.79

Summary:
Energy relative to the lowest polymorph listed for this composition (meV per atom): 411
V (A^3/atom): 19.70

=====

No. 7
# RbOsI2O

A relaxed RbOsI2O crystal (PBE, Alexandria).

abc: 6.4883 6.4883 4.1741
angles: 90.00 90.00 90.00
Last column: nearest neighbours and their distance in Å.
Atoms (fractional coordinates):
Rb  0.0000  0.0000  0.0000  2 O 2.09
Os  0.5000  0.5000  0.5000  8 I 3.86, 2 Os 4.17
I  0.0000  0.5000  0.0000  2 Rb 3.24
I  0.5000  0.0000  0.0000  2 Rb 3.24
O  0.0000  0.0000  0.5000  2 Rb 2.09

Summary:
Energy relative to the lowest polymorph listed for this composition (meV per atom): 2052
Formation energy (no corrections) (eV per atom): 1.58
V (A^3/atom): 35.14

=====

No. 8
# Nd2Y12Tm5

A relaxed Nd2Y12Tm5 crystal (PBE, Alexandria).

abc: 9.1168 9.1168 8.5440
angles: 90.85 90.85 61.30
Last column: nearest neighbours and their distance in Å.
Atoms (fractional coordinates):
Nd  0.1819  0.8181  0.0000  8 Y 3.38-3.61, 1 Nd 3.38, 2 Tm 3.53
Nd  0.8181  0.1819  0.0000  8 Y 3.38-3.61, 1 Nd 3.38, 2 Tm 3.53
Y  0.0579  0.0579  0.3278  2 Nd 3.38, 2 Tm 3.38-3.51, 7 Y 3.41-3.49
Y  0.0654  0.6808  0.3479  4 Tm 3.37-3.71, 6 Y 3.41-3.74, 1 Nd 3.61
Y  0.1633  0.5242  0.7584  5 Y 3.35-3.74, 1 Nd 3.43, 4 Tm 3.51-3.73
Y  0.3192  0.9346  0.6521  4 Tm 3.37-3.71, 6 Y 3.41-3.74, 1 Nd 3.61
Y  0.4083  0.4083  0.1200  3 Tm 3.43-3.53, 2 Nd 3.45, 5 Y 3.51-3.64
Y  0.4758  0.8367  0.2416  5 Y 3.35-3.74, 1 Nd 3.43, 4 Tm 3.51-3.73
Y  0.5242  0.1633  0.7584  5 Y 3.35-3.74, 1 Nd 3.43, 4 Tm 3.51-3.73
Y  0.5917  0.5917  0.8800  3 Tm 3.43-3.53, 2 Nd 3.45, 5 Y 3.51-3.64
Y  0.6808  0.0654  0.3479  4 Tm 3.37-3.71, 6 Y 3.41-3.74, 1 Nd 3.61
Y  0.8367  0.4758  0.2416  5 Y 3.35-3.74, 1 Nd 3.43, 4 Tm 3.51-3.73
Y  0.9346  0.3192  0.6521  4 Tm 3.37-3.71, 6 Y 3.41-3.74, 1 Nd 3.61
Y  0.9421  0.9421  0.6722  2 Nd 3.38, 2 Tm 3.38-3.51, 7 Y 3.41-3.49
Tm  0.1973  0.1973  0.0102  8 Y 3.43-3.70, 2 Nd 3.53, 1 Tm 3.68
Tm  0.2681  0.2681  0.4234  10 Y 3.37-3.77, 2 Tm 3.68-3.69
Tm  0.5000  0.5000  0.5000  10 Y 3.53-3.73, 2 Tm 3.69
Tm  0.7319  0.7319  0.5766  10 Y 3.37-3.77, 2 Tm 3.68-3.69
Tm  0.8027  0.8027  0.9898  8 Y 3.43-3.70, 2 Nd 3.53, 1 Tm 3.68

Summary:
Energy relative to the lowest polymorph listed for this composition (meV per atom): 86
V (A^3/atom): 32.78

=====

No. 9
# CeAs2Se6

A relaxed CeAs2Se6 crystal (PBE, Alexandria).

abc: 8.9948 8.9948 7.6781
angles: 105.05 105.05 70.38
Last column: nearest neighbours and their distance in Å.
Atoms (fractional coordinates):
Ce  0.1942  0.8058  0.7500  8 Se 2.90-3.15
Ce  0.8058  0.1942  0.2500  8 Se 2.90-3.15
As  0.1856  0.3667  0.5818  3 Se 2.38-2.54
As  0.3667  0.1856  0.0818  3 Se 2.38-2.54
As  0.6333  0.8144  0.9182  3 Se 2.38-2.54
As  0.8144  0.6333  0.4182  3 Se 2.38-2.54
Se  0.0125  0.1244  0.9876  1 Se 2.38
Se  0.1060  0.5813  0.3980  2 As 2.49-2.54
Se  0.1244  0.0125  0.4876  1 Se 2.38
Se  0.2848  0.5032  0.8756  1 As 2.38
Se  0.4187  0.8940  0.1020  2 As 2.49-2.54
Se  0.4968  0.7152  0.6244  1 As 2.38
Se  0.5032  0.2848  0.3756  1 As 2.38
Se  0.5813  0.1060  0.8980  2 As 2.49-2.54
Se  0.7152  0.4968  0.1244  1 As 2.38
Se  0.8756  0.9875  0.5124  1 Se 2.38
Se  0.8940  0.4187  0.6020  2 As 2.49-2.54
Se  0.9875  0.8756  0.0124  1 Se 2.38

Summary:
Formation energy (no corrections) (eV per atom): -0.53
V (A^3/atom): 30.82

=====

No. 10
# Pu3Br3N

A relaxed Pu3Br3N crystal (PBE, Alexandria).

abc: 8.4760 3.6533 11.2122
angles: 90.00 92.46 90.00
Last column: nearest neighbours and their distance in Å.
Atoms (fractional coordinates):
Pu  0.0902  0.2500  0.3919  3 N 2.48
Pu  0.1091  0.2500  0.8389  1 N 2.53
Pu  0.3032  0.7500  0.6143  2 N 2.46
Pu  0.6968  0.2500  0.3857  2 N 2.46
Pu  0.8909  0.7500  0.1611  1 N 2.53
Pu  0.9098  0.7500  0.6081  3 N 2.48
Br  0.1557  0.2500  0.1183  4 Pu 2.95-3.14
Br  0.3782  0.7500  0.8722  3 Pu 2.93
Br  0.3883  0.7500  0.3612  5 Pu 2.96-3.19
Br  0.6117  0.2500  0.6388  5 Pu 2.96-3.19
Br  0.6218  0.2500  0.1278  3 Pu 2.93
Br  0.8443  0.7500  0.8817  4 Pu 2.95-3.14
N  0.1079  0.2500  0.6133  6 Pu 2.46-2.53
N  0.8921  0.7500  0.3867  6 Pu 2.46-2.53

Summary:
Formation energy (no corrections) (eV per atom): -1.21
V (A^3/atom): 24.78

=====

No. 11
# ZrFe2Rh2

A relaxed ZrFe2Rh2 crystal (PBE, Alexandria).

abc: 7.2274 7.2274 2.8735
angles: 90.00 90.00 90.00
Last column: nearest neighbours and their distance in Å.
Atoms (fractional coordinates):
Zr  0.0000  0.0000  0.0000  4 Fe 2.78, 2 Zr 2.87, 8 Rh 3.10
Zr  0.5000  0.5000  0.0000  4 Fe 2.78, 2 Zr 2.87, 8 Rh 3.10
Fe  0.1441  0.3559  0.0000  6 Rh 2.53-2.58, 2 Zr 2.78
Fe  0.3559  0.8559  0.0000  6 Rh 2.53-2.58, 2 Zr 2.78
Fe  0.6441  0.1441  0.0000  6 Rh 2.53-2.58, 2 Zr 2.78
Fe  0.8559  0.6441  0.0000  6 Rh 2.53-2.58, 2 Zr 2.78
Rh  0.1524  0.6524  0.5000  6 Fe 2.53-2.58
Rh  0.3476  0.1524  0.5000  6 Fe 2.53-2.58
Rh  0.6524  0.8476  0.5000  6 Fe 2.53-2.58
Rh  0.8476  0.3476  0.5000  6 Fe 2.53-2.58

Summary:
Energy relative to the lowest polymorph listed for this composition (meV per atom): 0
V (A^3/atom): 15.01

=====

No. 12
# Pu2AlNi3P4

A relaxed Pu2AlNi3P4 crystal (PBE, Alexandria).

abc: 4.0251 4.0251 9.3283
angles: 90.00 90.00 90.00
Last column: nearest neighbours and their distance in Å.
Atoms (fractional coordinates):
Pu  0.0000  0.5000  0.2333  8 P 2.96-3.05, 7 Ni 3.07-3.20, 2 Al 3.20
Pu  0.5000  0.0000  0.7667  8 P 2.96-3.05, 7 Ni 3.07-3.20, 2 Al 3.20
Al  0.0000  0.0000  0.5000  4 P 2.44
Ni  0.0000  0.5000  0.8902  5 P 2.26
Ni  0.5000  0.0000  0.1098  5 P 2.26
Ni  0.5000  0.5000  0.5000  4 P 2.44
P  0.0000  0.0000  0.0000  4 Ni 2.26
P  0.0000  0.5000  0.6478  3 Ni 2.26-2.44, 2 Al 2.44
P  0.5000  0.0000  0.3522  3 Ni 2.26-2.44, 2 Al 2.44
P  0.5000  0.5000  0.0000  4 Ni 2.26

Summary:
V (A^3/atom): 15.11

=====

Computed E_tot, in the same sequence as the records: -3.681, -3.005, -7.538, -8.696, -3.597, -8.911, -2.468, -5.628, -4.547, -9.263, -8.209, -7.906 eV per atom.